Entry from Alexandria via LeMat-Bulk: a relaxed MnSbI2O crystal (GGA+U). Values from VASP.

Raw total energy (eV/cell): -20.937
Total magnetization (μB/f.u.): 4.26

Cell and atoms, written as Quantum ESPRESSO input:
```
&SYSTEM
  ibrav = 0, nat = 5, ntyp = 4
/
ATOMIC_SPECIES
O 16.00 O.upf
Sb 121.76 Sb.upf
I 126.90 I.upf
Mn 54.94 Mn.upf
CELL_PARAMETERS angstrom
-4.1878 -4.1385 -0.0613
2.8423 -2.8121 -4.3223
1.9112 -1.9716 2.5395
ATOMIC_POSITIONS crystal
O 0.0000 0.0000 0.5000
Sb 0.5000 0.5000 0.5000
I 0.0000 0.5000 0.0000
I 0.5000 0.0000 0.0000
Mn 0.0000 0.0000 0.0000
```